Pr2SnGe4Pt3 after structural relaxation. Source: Alexandria, functional PBE-GGA.

The density is 10.3 g/cm3. The value obtained for the formation enthalpy at 0 K is -786 meV/atom. The value obtained for the uncorrected energy is -5.801 eV per atom.

The structure belongs to space group P-4m2 (No. 115); the cell edges are 4.4392, 4.4392 and 10.4595 Å and the angles 90.00°, 90.00° and 90.00°. The distinct sites, in fractional coordinates, are Pr at (0.0000, 0.5000, 0.2380), Sn at (0.0000, 0.0000, 0.5000), Ge at (0.0000, 0.0000, 0.0000), Ge at (0.0000, 0.5000, 0.6497), Ge at (0.5000, 0.5000, 0.0000), Pt at (0.0000, 0.5000, 0.8832) and Pt at (0.5000, 0.5000, 0.5000).

***

Hf2TaTi2 after structural relaxation. Source: Alexandria, functional PBE-GGA.

The distance to the lowest polymorph of the same formula is 0.00 kcal/mol of atoms. The density is 10.6 g/cm3. The value obtained for the formation enthalpy at 0 K is 248 meV/atom. The value obtained for the uncorrected energy is -9.262 eV per atom.

The structure belongs to space group P4/mbm (No. 127); the cell edges are 7.1812, 7.1812 and 3.8411 Å and the angles 90.00°, 90.00° and 90.00°. The distinct sites, in fractional coordinates, are Hf at (0.1578, 0.3422, 0.0000), Ta at (0.0000, 0.0000, 0.5000) and Ti at (0.1426, 0.6426, 0.5000).

***

Al2ReSe after structural relaxation. Source: Alexandria, functional PBE-GGA.

The density is 7.7 g/cm3. The calculation puts the uncorrected formation energy at 9 kJ per mole of atoms. The value obtained for the uncorrected energy is -5.758 eV per atom.

The structure belongs to space group P4mm (No. 99); the cell edges are 3.0222, 3.0222 and 7.5280 Å and the angles 90.00°, 90.00° and 90.00°. The distinct sites, in fractional coordinates, are Al at (0.0000, 0.0000, 0.0000), Al at (0.5000, 0.5000, 0.2470), Re at (0.0000, 0.0000, 0.4706) and Se at (0.5000, 0.5000, 0.6600).

***

KTh2TaO8 after structural relaxation. Source: Alexandria, functional PBE-GGA.

The density is 7.1 g/cm3. The calculation puts the uncorrected formation energy at -272 kJ per mole of atoms. The value obtained for the uncorrected energy is -8.436 eV per atom.

The structure belongs to space group P-1 (No. 2); the cell edges are 4.6532, 4.9367 and 8.2529 Å and the angles 93.50°, 92.49° and 92.58°. The distinct sites, in fractional coordinates, are K at (0.0000, 0.0000, 0.0000), Th at (0.4326, 0.4649, 0.7151), Ta at (0.0000, 0.0000, 0.5000), O at (0.1153, 0.7215, 0.3226), O at (0.2208, 0.8633, 0.6911), O at (0.3210, 0.2667, 0.4667) and O at (0.4590, 0.3508, 0.0027).

***

Tc3HgCl after structural relaxation. Source: Alexandria, functional PBE-GGA.

The distance to the lowest polymorph of the same formula is 0.00 kcal/mol of atoms. The density is 10.3 g/cm3. The calculation puts the uncorrected formation energy at 105 kJ per mole of atoms. The value obtained for the uncorrected energy is -5.562 eV per atom.

The structure belongs to space group Pm-3m (No. 221); the cell edges are 4.3992, 4.3992 and 4.3992 Å and the angles 90.00°, 90.00° and 90.00°. The distinct sites, in fractional coordinates, are Tc at (0.0000, 0.0000, 0.5000), Hg at (0.5000, 0.5000, 0.5000) and Cl at (0.0000, 0.0000, 0.0000).

***

La2PmErSe6 after structural relaxation. Source: Alexandria, functional PBE-GGA.

The density is 5.6 g/cm3. The calculation puts the uncorrected formation energy at -184 kJ per mole of atoms. The value obtained for the uncorrected energy is -5.920 eV per atom.

The structure belongs to space group R3 (No. 146, hexagonal axes); the cell edges are 7.4772, 7.4772 and 19.6142 Å and the angles 90.00°, 90.00° and 120.00°. The distinct sites, in fractional coordinates, are La at (0.0000, 0.0000, 0.0000), La at (0.0000, 0.0000, 0.4981), Pm at (0.0000, 0.0000, 0.2049), Er at (0.0000, 0.0000, 0.7023), Se at (0.0458, 0.3513, 0.7723) and Se at (0.0493, 0.6844, 0.2737).

***

Pm5Ho2Er6 after structural relaxation. Source: Alexandria, functional PBE-GGA.

The density is 8.1 g/cm3. The value obtained for the formation enthalpy at 0 K is 95 meV/atom. The value obtained for the uncorrected energy is -4.542 eV per atom.

The structure belongs to space group Pbam (No. 55); the cell edges are 11.5935, 20.4183 and 3.5750 Å and the angles 90.00°, 90.00° and 90.00°. The distinct sites, in fractional coordinates, are Pm at (0.0000, 0.0000, 0.0000), Pm at (0.0834, 0.2726, 0.0000), Pm at (0.1988, 0.5504, 0.0000), Ho at (0.1716, 0.7102, 0.5000), Er at (0.0613, 0.4187, 0.5000), Er at (0.0802, 0.1313, 0.5000) and Er at (0.1754, 0.8619, 0.0000).

***

KBaSe2 after structural relaxation. Source: Alexandria, functional PBE-GGA.

The density is 4.3 g/cm3. The calculation puts the uncorrected formation energy at -124 kJ per mole of atoms. The value obtained for the uncorrected energy is -3.786 eV per atom.

The structure belongs to space group P4/mmm (No. 123); the cell edges are 4.2147, 4.2147 and 7.2385 Å and the angles 90.00°, 90.00° and 90.00°. The distinct sites, in fractional coordinates, are K at (0.0000, 0.0000, 0.0000), Ba at (0.0000, 0.0000, 0.5000) and Se at (0.5000, 0.5000, 0.2742).

***

The total magnetization results, record by record, are as follows: 0.0 0.0 0.0 0.0 1.9 0.0 0.0 0.4 μB per cell.